No. 1
A plane-wave DFT calculation with GGA-PBE was carried out for a relaxed structure of AcYAgAu.

Output
- Total magnetic moment: 0.00 μB/f.u.
- Offset from the most stable computed form: 27 meV/atom
- Calculated volume: 27.33 A^3/atom
- Space-group type: F-43m, No. 216
- Formation energy from the elements: -0.49 eV per atom
- Crystal system: cubic
- Fermi-level density of states: 3.71 states/eV/cell

Unit cell a=5.367 b=5.367 c=5.367 alpha=60.00 beta=60.00 gamma=60.00
Fractional coordinates of all 4 atoms:
Ac: 0.000 0.000 0.000
Y: 0.500 0.500 0.500
Ag: 0.750 0.750 0.750
Au: 0.250 0.250 0.250

No. 2
A plane-wave DFT calculation with GGA-PBE was carried out for a relaxed structure of AcYAgAu.

Output
- Total magnetic moment: 0.00 μB/f.u.
- Offset from the most stable computed form: 0 meV/atom
- Calculated volume: 28.00 A^3/atom
- Space-group type: Amm2, No. 38
- Formation energy from the elements: -0.52 eV per atom
- Crystal system: orthorhombic
- Fermi-level density of states: 2.69 states/eV/cell

Unit cell a=4.866 b=6.077 c=6.077 alpha=38.55 beta=90.00 gamma=90.00
Fractional coordinates of all 4 atoms:
Ac: 0.000 0.000 0.000
Y: 0.500 0.278 0.278
Ag: 0.500 0.564 0.564
Au: 0.000 0.727 0.727

No. 3
A plane-wave DFT calculation with GGA-PBE was carried out for a relaxed structure of AcZn3AgAu.

Output
- Total magnetic moment: 0.00 μB/f.u.
- Calculated volume: 21.92 A^3/atom
- Space-group type: Cmcm, No. 63
- Formation energy from the elements: -0.20 eV per atom
- Crystal system: orthorhombic
- Fermi-level density of states: 6.50 states/eV/cell

Unit cell a=7.354 b=7.354 c=6.091 alpha=90.00 beta=90.00 gamma=127.01
Fractional coordinates of all 12 atoms:
Ac: 0.218 0.782 0.750
Ac: 0.782 0.218 0.250
Zn: 0.191 0.191 0.000
Zn: 0.191 0.191 0.500
Zn: 0.353 0.647 0.250
Zn: 0.647 0.353 0.750
Zn: 0.809 0.809 0.000
Zn: 0.809 0.809 0.500
Ag: 0.450 0.550 0.750
Ag: 0.550 0.450 0.250
Au: 0.151 0.849 0.250
Au: 0.849 0.151 0.750

No. 4
A plane-wave DFT calculation with GGA-PBE was carried out for a relaxed structure of Ac2ZnAgAu6.

Output
- Total magnetic moment: 0.00 μB/f.u.
- Calculated volume: 24.30 A^3/atom
- Space-group type: C2/m, No. 12
- Formation energy from the elements: -0.47 eV per atom
- Crystal system: monoclinic
- Fermi-level density of states: 4.69 states/eV/cell

Unit cell a=7.012 b=7.012 c=9.200 alpha=127.98 beta=127.98 gamma=46.30
Fractional coordinates of all 10 atoms:
Ac: 0.238 0.238 0.205
Ac: 0.762 0.762 0.795
Zn: 0.000 0.000 0.500
Ag: 0.500 0.500 0.000
Au: 0.233 0.734 0.245
Au: 0.250 0.250 0.590
Au: 0.266 0.767 0.755
Au: 0.734 0.233 0.245
Au: 0.750 0.750 0.410
Au: 0.767 0.266 0.755

No. 5
A plane-wave DFT calculation with GGA-PBE was carried out for a relaxed structure of AcZnAgAu3.

Output
- Total magnetic moment: 0.00 μB/f.u.
- Calculated volume: 23.36 A^3/atom
- Space-group type: Cmcm, No. 63
- Formation energy from the elements: -0.31 eV per atom
- Crystal system: orthorhombic
- Fermi-level density of states: 3.70 states/eV/cell

Unit cell a=7.240 b=7.240 c=6.276 alpha=90.00 beta=90.00 gamma=121.55
Fractional coordinates of all 12 atoms:
Ac: 0.202 0.798 0.750
Ac: 0.798 0.202 0.250
Zn: 0.125 0.875 0.250
Zn: 0.875 0.125 0.750
Ag: 0.445 0.555 0.750
Ag: 0.555 0.445 0.250
Au: 0.202 0.202 0.000
Au: 0.202 0.202 0.500
Au: 0.326 0.674 0.250
Au: 0.674 0.326 0.750
Au: 0.798 0.798 0.000
Au: 0.798 0.798 0.500

No. 6
A plane-wave DFT calculation with GGA-PBE was carried out for a relaxed structure of Ac3Zn6AgAu2.

Output
- Total magnetic moment: 0.00 μB/f.u.
- Calculated volume: 24.69 A^3/atom
- Space-group type: P-3m1, No. 164
- Formation energy from the elements: -0.22 eV per atom
- Crystal system: trigonal
- Fermi-level density of states: 7.09 states/eV/cell

Unit cell a=6.463 b=6.463 c=8.192 alpha=90.00 beta=90.00 gamma=120.00
Fractional coordinates of all 12 atoms:
Ac: 0.000 0.000 0.000
Ac: 0.333 0.667 0.722
Ac: 0.667 0.333 0.278
Zn: 0.198 0.396 0.355
Zn: 0.198 0.802 0.355
Zn: 0.396 0.198 0.645
Zn: 0.604 0.802 0.355
Zn: 0.802 0.198 0.645
Zn: 0.802 0.604 0.645
Ag: 0.000 0.000 0.500
Au: 0.333 0.667 0.090
Au: 0.667 0.333 0.910

No. 7
A plane-wave DFT calculation with GGA-PBE was carried out for a relaxed structure of Ac4Ag2B.

Output
- Total magnetic moment: 0.00 μB/f.u.
- Calculated volume: 34.33 A^3/atom
- Space-group type: I4/mmm, No. 139
- Formation energy from the elements: 0.06 eV per atom
- Crystal system: tetragonal
- Fermi-level density of states: 10.06 states/eV/cell

Unit cell a=8.918 b=8.918 c=8.918 alpha=144.29 beta=144.29 gamma=51.39
Fractional coordinates of all 7 atoms:
Ac: 0.000 0.500 0.500
Ac: 0.181 0.181 0.000
Ac: 0.500 0.000 0.500
Ac: 0.819 0.819 0.000
Ag: 0.376 0.376 0.000
Ag: 0.624 0.624 0.000
B: 0.000 0.000 0.000

No. 8
A plane-wave DFT calculation with GGA-PBE was carried out for a relaxed structure of AcAg2B2O6.

Output
- Total magnetic moment: 1.06 μB/f.u.
- Calculated volume: 15.36 A^3/atom
- Space-group type: P-3, No. 147
- Formation energy (no corrections): -1.87 eV/atom
- Crystal system: trigonal
- Fermi-level density of states: 5.40 states/eV/cell

Unit cell a=5.524 b=5.524 c=6.395 alpha=90.00 beta=90.00 gamma=120.00
Fractional coordinates of all 11 atoms:
Ac: 0.000 0.000 0.000
Ag: 0.333 0.667 0.310
Ag: 0.667 0.333 0.690
B: 0.333 0.667 0.763
B: 0.667 0.333 0.237
O: 0.096 0.405 0.765
O: 0.308 0.904 0.765
O: 0.405 0.308 0.235
O: 0.595 0.692 0.765
O: 0.692 0.096 0.235
O: 0.904 0.595 0.235

No. 9
A plane-wave DFT calculation with GGA-PBE was carried out for a relaxed structure of AcAgBO4.

Output
- Total magnetic moment: 0.00 μB/f.u.
- Calculated volume: 13.00 A^3/atom
- Space-group type: Cmcm, No. 63
- Formation energy (no corrections): -2.10 eV/atom
- Crystal system: orthorhombic
- Fermi-level density of states: 2.82 states/eV/cell

Unit cell a=5.652 b=5.652 c=7.210 alpha=90.00 beta=90.00 gamma=127.79
Fractional coordinates of all 14 atoms:
Ac: 0.218 0.782 0.750
Ac: 0.782 0.218 0.250
Ag: 0.500 0.500 0.000
Ag: 0.500 0.500 0.500
B: 0.108 0.892 0.250
B: 0.892 0.108 0.750
O: 0.190 0.810 0.086
O: 0.190 0.810 0.414
O: 0.228 0.263 0.750
O: 0.263 0.228 0.250
O: 0.737 0.772 0.750
O: 0.772 0.737 0.250
O: 0.810 0.190 0.586
O: 0.810 0.190 0.914

No. 10
A plane-wave DFT calculation with GGA-PBE was carried out for a relaxed structure of Ac2AgBO5.

Output
- Total magnetic moment: 0.00 μB/f.u.
- Calculated volume: 14.04 A^3/atom
- Space-group type: I4/mcm, No. 140
- Formation energy (no corrections): -2.56 eV/atom
- Crystal system: tetragonal
- Fermi-level density of states: 0.00 states/eV/cell

Unit cell a=6.957 b=6.957 c=6.957 alpha=115.03 beta=115.03 gamma=98.84
Fractional coordinates of all 18 atoms:
Ac: 0.186 0.686 0.873
Ac: 0.314 0.186 0.500
Ac: 0.686 0.814 0.500
Ac: 0.814 0.314 0.127
Ag: 0.250 0.250 0.000
Ag: 0.750 0.750 0.000
B: 0.250 0.750 0.500
B: 0.750 0.250 0.500
O: 0.000 0.000 0.000
O: 0.040 0.772 0.500
O: 0.228 0.728 0.267
O: 0.272 0.540 0.500
O: 0.460 0.960 0.733
O: 0.500 0.500 0.000
O: 0.540 0.040 0.267
O: 0.728 0.460 0.500
O: 0.772 0.272 0.733
O: 0.960 0.228 0.500

No. 11
A plane-wave DFT calculation with GGA-PBE was carried out for a relaxed structure of Ac3Ag4BO8.

Output
- Total magnetic moment: 0.00 μB/f.u.
- Calculated volume: 16.59 A^3/atom
- Space-group type: C2/m, No. 12
- Formation energy (no corrections): -1.57 eV/atom
- Crystal system: monoclinic
- Fermi-level density of states: 0.47 states/eV/cell

Unit cell a=7.383 b=7.383 c=6.527 alpha=113.77 beta=113.77 gamma=57.09
Fractional coordinates of all 16 atoms:
Ac: 0.000 0.000 0.000
Ac: 0.000 0.500 0.500
Ac: 0.500 0.000 0.500
Ag: 0.000 0.000 0.500
Ag: 0.000 0.500 0.000
Ag: 0.500 0.000 0.000
Ag: 0.500 0.500 0.500
B: 0.500 0.500 0.000
O: 0.179 0.179 0.668
O: 0.218 0.218 0.201
O: 0.292 0.621 0.802
O: 0.379 0.708 0.198
O: 0.621 0.292 0.802
O: 0.708 0.379 0.198
O: 0.782 0.782 0.799
O: 0.821 0.821 0.332

No. 12
A plane-wave DFT calculation with GGA-PBE was carried out for a relaxed structure of Ac2AgB3Pd12.

Output
- Total magnetic moment: 0.00 μB/f.u.
- Calculated volume: 17.84 A^3/atom
- Space-group type: R-3m, No. 166
- Formation energy from the elements: -0.31 eV per atom
- Crystal system: trigonal
- Fermi-level density of states: 4.80 states/eV/cell

Unit cell a=7.708 b=7.708 c=7.708 alpha=59.64 beta=59.64 gamma=59.64
Fractional coordinates of all 18 atoms:
Ac: 0.100 0.100 0.100
Ac: 0.900 0.900 0.900
Ag: 0.500 0.500 0.500
B: 0.000 0.500 0.500
B: 0.500 0.000 0.500
B: 0.500 0.500 0.000
Pd: 0.041 0.644 0.644
Pd: 0.227 0.227 0.622
Pd: 0.227 0.622 0.227
Pd: 0.356 0.356 0.959
Pd: 0.356 0.959 0.356
Pd: 0.378 0.773 0.773
Pd: 0.622 0.227 0.227
Pd: 0.644 0.041 0.644
Pd: 0.644 0.644 0.041
Pd: 0.773 0.378 0.773
Pd: 0.773 0.773 0.378
Pd: 0.959 0.356 0.356